Density functional theory data (GGA-PBE) for an optimized crystal structure of SrBe3Br.

Calculated density: 2.868 Mg/m³
Fermi-level density of states: 4.02 states/eV/f.u.
Formation energy from raw total energies: 1.1593 eV/atom
Total magnetization: 0.000 μB/atom
Relative energy among the computed polymorphs: 0 meV/atom

Structure (CIF):
```
data_SrBe3Br
_chemical_formula_sum 'Sr1 Be3 Br1'
_cell_length_a 4.8297
_cell_length_b 4.8297
_cell_length_c 4.8297
_cell_angle_alpha 90.00
_cell_angle_beta 90.00
_cell_angle_gamma 90.00
_symmetry_space_group_name_H-M 'P m -3 m'
_symmetry_Int_Tables_number 221
_symmetry_space_group_name_Hall '-P 4 2 3'
loop_
_atom_site_label
_atom_site_fract_x
_atom_site_fract_y
_atom_site_fract_z
Sr1 0.0000 0.0000 0.0000
Be1 0.0000 0.5000 0.5000
Br1 0.5000 0.5000 0.5000
```

***

Density functional theory data (GGA-PBE) for an optimized crystal structure of BeSbAsPb2.

Calculated density: 8.118 Mg/m³
Fermi-level density of states: 1.88 states/eV/f.u.
Formation energy from raw total energies: 0.3075 eV/atom
Total magnetization: 0.000 μB/atom

Structure (CIF):
```
data_BeSbAsPb2
_chemical_formula_sum 'Be1 Sb1 As1 Pb2'
_cell_length_a 5.4827
_cell_length_b 5.4827
_cell_length_c 4.2195
_cell_angle_alpha 90.00
_cell_angle_beta 90.00
_cell_angle_gamma 90.00
_symmetry_space_group_name_H-M 'P 4/m m m'
_symmetry_Int_Tables_number 123
_symmetry_space_group_name_Hall '-P 4 2'
loop_
_atom_site_label
_atom_site_fract_x
_atom_site_fract_y
_atom_site_fract_z
Be1 0.0000 0.0000 0.0000
Sb1 0.5000 0.5000 0.5000
As1 0.0000 0.0000 0.5000
Pb1 0.0000 0.5000 0.0000
```

***

Density functional theory data (GGA-PBE) for an optimized crystal structure of Ba2YZr.

Calculated density: 5.158 Mg/m³
Fermi-level density of states: 5.11 states/eV/f.u.
Total magnetization: 0.000 μB/atom
Relative energy among the computed polymorphs: 224 meV/atom

Structure (CIF):
```
data_Ba2YZr
_chemical_formula_sum 'Ba2 Y1 Zr1'
_cell_length_a 6.4054
_cell_length_b 3.6872
_cell_length_c 6.5651
_cell_angle_alpha 90.00
_cell_angle_beta 109.23
_cell_angle_gamma 90.00
_symmetry_space_group_name_H-M 'P 1 2/m 1'
_symmetry_Int_Tables_number 10
loop_
_symmetry_equiv_pos_as_xyz
'x,y,z'
'-x,-y,-z'
'-x,y,-z'
'x,-y,z'
loop_
_atom_site_label
_atom_site_fract_x
_atom_site_fract_y
_atom_site_fract_z
Ba1 0.0000 0.0000 0.0000
Ba2 0.5000 0.5000 0.0000
Y1 0.0000 0.5000 0.5000
Zr1 0.5000 0.0000 0.5000
```

***

Density functional theory data (GGA-PBE) for an optimized crystal structure of PmTc4B4.

Calculated density: 8.232 Mg/m³
VASP energy: -153.09 eV for the cell shown
Fermi-level density of states: 5.93 states/eV/f.u.
Total magnetization: 0.000 μB/atom

Structure (CIF):
```
data_PmTc4B4
_chemical_formula_sum 'Pm2 Tc8 B8'
_cell_length_a 7.4351
_cell_length_b 7.4351
_cell_length_c 4.2347
_cell_angle_alpha 90.00
_cell_angle_beta 90.00
_cell_angle_gamma 90.00
_symmetry_space_group_name_H-M 'P 42/n'
_symmetry_Int_Tables_number 86
loop_
_symmetry_equiv_pos_as_xyz
'x,y,z'
'-x,-y,-z'
'-y,x+1/2,z+1/2'
'y,-x+1/2,-z+1/2'
'-x+1/2,-y+1/2,z'
'x+1/2,y+1/2,-z'
'y+1/2,-x,z+1/2'
'-y+1/2,x,-z+1/2'
loop_
_atom_site_label
_atom_site_fract_x
_atom_site_fract_y
_atom_site_fract_z
Pm1 0.2500 0.2500 0.2500
Tc1 0.1165 0.6268 0.1204
B1 0.0604 0.9230 0.1220
```